Density functional theory data (PBE) for FeCuMoHSe after structural relaxation.

For the total magnetization, the calculation gives 0.406 μB/atom. The value obtained for the density of states at the Fermi level is 1.58 states/eV/f.u. Its calculated density is 7.3 g cm⁻³. The calculation puts the offset from the most stable computed form at 0.048 eV/atom. The value obtained for the raw total energy is -59.11 eV/cell.

Cell: 3.0226 3.3149 13.4373 Å, 90.00 90.00 90.00°
Closest atoms and distances in Å follow each position.
Space group Imm2 (No. 44)
Symmetry-distinct sites (fractional):
Fe 0.0000 0.0000 0.0000 (multiplicity 2)  4 Se 2.55, 4 Mo 2.63
Cu 0.0000 0.0000 0.2184 (multiplicity 2)  2 H 1.67
Mo 0.0000 0.0000 0.6021 (multiplicity 2)  2 H 2.01
H 0.0000 0.5000 0.2010 (multiplicity 2)  2 Cu 1.67
Se 0.0000 0.0000 0.4101 (multiplicity 2)  4 Fe 2.55, 1 Cu 2.58, 1 Mo 2.58